A relaxed structure of VC2O6, computed with PBE+U.

abc: 8.0790 8.0880 8.3923
angles: 77.41 77.38 66.20
With the nearest neighbours (Å) after each atom.
Positions (direct):
V 0.0000 0.0000 0.0000  6 O 1.91-1.96
V 0.0880 0.4046 0.2476  6 O 1.91-1.96
V 0.4970 0.4989 0.4959  6 O 1.88-2.00
V 0.5912 0.9061 0.7516  6 O 1.88-2.00
C 0.2477 0.6932 0.2206  3 O 1.28-1.30
C 0.2851 0.1527 0.9757  3 O 1.28-1.30
C 0.3002 0.7531 0.7683  3 O 1.27-1.31
C 0.3461 0.2091 0.5166  3 O 1.27-1.32
C 0.7425 0.1954 0.7305  3 O 1.27-1.32
C 0.7880 0.6514 0.4797  3 O 1.27-1.31
C 0.8028 0.2526 0.2713  3 O 1.28-1.30
C 0.8401 0.7120 0.0274  3 O 1.28-1.30
O 0.1370 0.8293 0.8412  1 C 1.28
O 0.1563 0.1405 0.9159  1 C 1.30
O 0.1780 0.8608 0.1499  1 C 1.30
O 0.2270 0.5643 0.1694  1 C 1.29
O 0.2379 0.2400 0.4142  1 C 1.27
O 0.2474 0.2566 0.0860  1 C 1.29
O 0.3243 0.6567 0.6587  1 C 1.27
O 0.3401 0.6662 0.3358  1 C 1.28
O 0.3621 0.3464 0.5635  1 C 1.32
O 0.4327 0.0447 0.5766  1 C 1.27
O 0.4383 0.7711 0.8115  1 C 1.31
O 0.4541 0.0685 0.9235  1 C 1.28
O 0.6339 0.3377 0.3233  1 C 1.28
O 0.6496 0.6342 0.4363  1 C 1.31
O 0.6563 0.3598 0.6705  1 C 1.27
O 0.7265 0.0583 0.6836  1 C 1.32
O 0.7475 0.7394 0.9123  1 C 1.28
O 0.7644 0.7474 0.5895  1 C 1.27
O 0.8400 0.1486 0.1614  1 C 1.29
O 0.8505 0.1642 0.8333  1 C 1.27
O 0.8610 0.8408 0.0787  1 C 1.29
O 0.9097 0.5443 0.0979  1 C 1.30
O 0.9321 0.2640 0.3313  1 C 1.30
O 0.9512 0.5746 0.4070  1 C 1.28

Calculated values
Offset from the most stable computed form ... 14.9 meV/atom